# Lu2Ru2O7

A relaxed Lu2Ru2O7 crystal (GGA-PBE, Alexandria via LeMat-Bulk).

Unit cell a=7.1468 b=7.1468 c=7.1468 alpha=60.00 beta=60.00 gamma=60.00
Closest atoms and distances in Å follow each position.
Sites, in units of the cell vectors:
Lu: 0.0000 0.0000 0.0000  8 O 2.19-2.40
Lu: 0.0000 0.0000 0.5000  8 O 2.19-2.40
Lu: 0.0000 0.5000 0.0000  8 O 2.19-2.40
Lu: 0.5000 0.0000 0.0000  8 O 2.19-2.40
Ru: 0.0000 0.5000 0.5000  6 O 2.01
Ru: 0.5000 0.0000 0.5000  6 O 2.01
Ru: 0.5000 0.5000 0.0000  6 O 2.01
Ru: 0.5000 0.5000 0.5000  6 O 2.01
O: 0.1250 0.1250 0.1250  4 Lu 2.19
O: 0.1585 0.1585 0.5915  2 Ru 2.01
O: 0.1585 0.5915 0.1585  2 Ru 2.01
O: 0.1585 0.5915 0.5915  2 Ru 2.01
O: 0.4085 0.4085 0.8415  2 Ru 2.01
O: 0.4085 0.8415 0.4085  2 Ru 2.01
O: 0.4085 0.8415 0.8415  2 Ru 2.01
O: 0.5915 0.1585 0.1585  2 Ru 2.01
O: 0.5915 0.1585 0.5915  2 Ru 2.01
O: 0.5915 0.5915 0.1585  2 Ru 2.01
O: 0.8415 0.4085 0.4085  2 Ru 2.01
O: 0.8415 0.4085 0.8415  2 Ru 2.01
O: 0.8415 0.8415 0.4085  2 Ru 2.01
O: 0.8750 0.8750 0.8750  4 Lu 2.19

Summary:
The space-group type is Fd-3m. For the uncorrected energy, the calculation gives -172.41 eV for the cell shown. Its uncorrected formation energy is -23.9 eV per formula unit.